[1]
Here is crystalline TmZr2Al at its relaxed geometry from Alexandria via LeMat-Bulk. Energies are from PBE.

Results
The spin magnetization is 0.00 μB per cell. The value obtained for the formation energy is -0.21 eV/atom.

The structure in CIF format:
```
data_TmZr2Al
_cell_length_a 4.445
_cell_length_b 4.474
_cell_length_c 4.474
_cell_angle_alpha 90.00
_cell_angle_beta 90.00
_cell_angle_gamma 90.00
_symmetry_space_group_name_H-M 'P 1'
_symmetry_Int_Tables_number 1
loop_
_symmetry_equiv_pos_as_xyz
'x,y,z'
loop_
_atom_site_label
_atom_site_fract_x
_atom_site_fract_y
_atom_site_fract_z
_atom_site_occupancy
Tm1 0.500 0.500 0.500 1
Zr1 0.000 0.000 0.500 1
Zr2 0.000 0.500 0.000 1
Al1 0.500 0.000 0.000 1
```

[2]
Here is crystalline Ac8Ni3GeI4 at its relaxed geometry from Alexandria via LeMat-Bulk. Energies are from PBE.

Results
The spin magnetization is 0.00 μB per cell. As for the uncorrected formation energy: -0.74 eV/atom.

The structure in CIF format:
```
data_Ac8Ni3GeI4
_cell_length_a 8.907
_cell_length_b 9.932
_cell_length_c 8.912
_cell_angle_alpha 116.70
_cell_angle_beta 119.98
_cell_angle_gamma 90.00
_symmetry_space_group_name_H-M 'P 1'
_symmetry_Int_Tables_number 1
loop_
_symmetry_equiv_pos_as_xyz
'x,y,z'
loop_
_atom_site_label
_atom_site_fract_x
_atom_site_fract_y
_atom_site_fract_z
_atom_site_occupancy
Ac1 0.236 0.687 0.472 1
Ac2 0.271 0.314 0.542 1
Ac3 0.764 0.313 0.528 1
Ac4 0.729 0.686 0.458 1
Ac5 0.715 0.687 0.951 1
Ac6 0.764 0.313 0.049 1
Ac7 0.236 0.687 0.951 1
Ac8 0.285 0.313 0.049 1
I1 0.000 0.000 0.500 1
I2 0.500 0.000 0.500 1
I3 0.500 0.000 0.000 1
I4 0.000 0.000 0.000 1
Ni1 0.500 0.500 0.500 1
Ni2 0.500 0.500 0.000 1
Ni3 0.000 0.500 0.500 1
Ge1 0.000 0.500 0.000 1
```

[3]
Here is crystalline AcLa2SmTe5 at its relaxed geometry from Alexandria via LeMat-Bulk. Energies are from PBE.

Results
The spin magnetization is 1.37 μB per cell. As for the uncorrected formation energy: -1.00 eV/atom.

The structure in CIF format:
```
data_AcLa2SmTe5
_cell_length_a 5.609
_cell_length_b 5.609
_cell_length_c 12.286
_cell_angle_alpha 90.00
_cell_angle_beta 90.00
_cell_angle_gamma 90.00
_symmetry_space_group_name_H-M 'P 1'
_symmetry_Int_Tables_number 1
loop_
_symmetry_equiv_pos_as_xyz
'x,y,z'
loop_
_atom_site_label
_atom_site_fract_x
_atom_site_fract_y
_atom_site_fract_z
_atom_site_occupancy
Te1 0.000 0.000 0.747 1
Te2 0.500 0.500 0.000 1
Te3 0.000 0.000 0.253 1
Te4 0.500 0.000 0.500 1
Te5 0.000 0.500 0.500 1
Sm1 0.000 0.000 0.500 1
La1 0.500 0.500 0.655 1
La2 0.500 0.500 0.345 1
Ac1 0.000 0.000 0.000 1
```

[4]
Here is crystalline LaPr3Os at its relaxed geometry from Alexandria via LeMat-Bulk. Energies are from PBE.

Results
The spin magnetization is 0.00 μB per cell. The value obtained for the formation energy is -0.08 eV/atom.

The structure in CIF format:
```
data_LaPr3Os
_cell_length_a 7.639
_cell_length_b 7.639
_cell_length_c 7.598
_cell_angle_alpha 108.66
_cell_angle_beta 111.71
_cell_angle_gamma 108.29
_symmetry_space_group_name_H-M 'P 1'
_symmetry_Int_Tables_number 1
loop_
_symmetry_equiv_pos_as_xyz
'x,y,z'
loop_
_atom_site_label
_atom_site_fract_x
_atom_site_fract_y
_atom_site_fract_z
_atom_site_occupancy
Os1 0.368 0.245 0.614 1
Os2 0.632 0.755 0.386 1
Pr1 0.245 0.451 0.297 1
Pr2 0.701 0.448 0.149 1
Pr3 0.846 0.052 0.297 1
Pr4 0.755 0.549 0.703 1
Pr5 0.299 0.552 0.851 1
Pr6 0.154 0.948 0.703 1
La1 0.707 0.047 0.754 1
La2 0.293 0.953 0.246 1
```

[5]
Here is crystalline MgCu2Pd5 at its relaxed geometry from Alexandria via LeMat-Bulk. Energies are from PBE.

Results
The spin magnetization is 0.00 μB per cell. The value obtained for the formation energy is -0.27 eV/atom.

The structure in CIF format:
```
data_MgCu2Pd5
_cell_length_a 5.434
_cell_length_b 5.434
_cell_length_c 5.434
_cell_angle_alpha 117.08
_cell_angle_beta 117.08
_cell_angle_gamma 95.14
_symmetry_space_group_name_H-M 'P 1'
_symmetry_Int_Tables_number 1
loop_
_symmetry_equiv_pos_as_xyz
'x,y,z'
loop_
_atom_site_label
_atom_site_fract_x
_atom_site_fract_y
_atom_site_fract_z
_atom_site_occupancy
Mg1 0.778 0.778 0.000 1
Pd1 0.278 0.278 0.000 1
Pd2 0.778 0.778 0.500 1
Pd3 0.278 0.278 0.500 1
Pd4 0.778 0.278 0.000 1
Pd5 0.278 0.778 0.000 1
Cu1 0.278 0.778 0.500 1
Cu2 0.778 0.278 0.500 1
```

[6]
Here is crystalline KLiTl2In at its relaxed geometry from Alexandria via LeMat-Bulk. Energies are from PBE.

Results
The spin magnetization is 0.00 μB per cell. The value obtained for the formation energy is -0.02 eV/atom.

The structure in CIF format:
```
data_KLiTl2In
_cell_length_a 5.387
_cell_length_b 5.387
_cell_length_c 5.276
_cell_angle_alpha 90.00
_cell_angle_beta 90.00
_cell_angle_gamma 90.00
_symmetry_space_group_name_H-M 'P 1'
_symmetry_Int_Tables_number 1
loop_
_symmetry_equiv_pos_as_xyz
'x,y,z'
loop_
_atom_site_label
_atom_site_fract_x
_atom_site_fract_y
_atom_site_fract_z
_atom_site_occupancy
In1 0.000 0.000 0.500 1
Tl1 0.500 0.000 0.000 1
Tl2 0.000 0.500 0.000 1
Li1 0.000 0.000 0.000 1
K1 0.500 0.500 0.500 1
```

[7]
Here is crystalline Pr5Hg at its relaxed geometry from Alexandria via LeMat-Bulk. Energies are from PBE.

Results
The spin magnetization is 0.00 μB per cell. The value obtained for the formation energy is -0.15 eV/atom.

The structure in CIF format:
```
data_Pr5Hg
_cell_length_a 3.751
_cell_length_b 3.751
_cell_length_c 14.422
_cell_angle_alpha 90.00
_cell_angle_beta 90.00
_cell_angle_gamma 90.00
_symmetry_space_group_name_H-M 'P 1'
_symmetry_Int_Tables_number 1
loop_
_symmetry_equiv_pos_as_xyz
'x,y,z'
loop_
_atom_site_label
_atom_site_fract_x
_atom_site_fract_y
_atom_site_fract_z
_atom_site_occupancy
Pr1 0.000 0.000 0.359 1
Pr2 0.000 0.000 0.641 1
Pr3 0.500 0.500 0.820 1
Pr4 0.000 0.000 0.000 1
Pr5 0.500 0.500 0.180 1
Hg1 0.500 0.500 0.500 1
```

[8]
Here is crystalline Cs3Tl4Au at its relaxed geometry from Alexandria via LeMat-Bulk. Energies are from PBE.

Results
The spin magnetization is 0.00 μB per cell. The value obtained for the formation energy is -0.12 eV/atom.

The structure in CIF format:
```
data_Cs3Tl4Au
_cell_length_a 7.212
_cell_length_b 6.739
_cell_length_c 15.385
_cell_angle_alpha 90.00
_cell_angle_beta 90.00
_cell_angle_gamma 90.00
_symmetry_space_group_name_H-M 'P 1'
_symmetry_Int_Tables_number 1
loop_
_symmetry_equiv_pos_as_xyz
'x,y,z'
loop_
_atom_site_label
_atom_site_fract_x
_atom_site_fract_y
_atom_site_fract_z
_atom_site_occupancy
Tl1 0.308 0.500 0.110 1
Tl2 0.001 0.736 0.500 1
Tl3 0.999 0.236 0.000 1
Tl4 0.692 0.000 0.390 1
Tl5 0.308 0.500 0.890 1
Tl6 0.999 0.764 0.000 1
Tl7 0.692 0.000 0.610 1
Tl8 0.001 0.264 0.500 1
Cs1 0.507 0.000 0.000 1
Cs2 0.793 0.500 0.768 1
Cs3 0.493 0.500 0.500 1
Cs4 0.793 0.500 0.232 1
Cs5 0.207 0.000 0.732 1
Cs6 0.207 0.000 0.268 1
Au1 0.653 0.500 0.000 1
Au2 0.347 0.000 0.500 1
```

[9]
Here is crystalline Pm6Si3F at its relaxed geometry from Alexandria via LeMat-Bulk. Energies are from PBE.

Results
The spin magnetization is 1.91 μB per cell. As for the uncorrected formation energy: -0.89 eV/atom.

The structure in CIF format:
```
data_Pm6Si3F
_cell_length_a 6.525
_cell_length_b 7.945
_cell_length_c 10.006
_cell_angle_alpha 90.00
_cell_angle_beta 89.95
_cell_angle_gamma 90.00
_symmetry_space_group_name_H-M 'P 1'
_symmetry_Int_Tables_number 1
loop_
_symmetry_equiv_pos_as_xyz
'x,y,z'
loop_
_atom_site_label
_atom_site_fract_x
_atom_site_fract_y
_atom_site_fract_z
_atom_site_occupancy
Si1 0.932 0.382 0.750 1
Si2 0.000 0.000 0.500 1
Si3 0.568 0.882 0.750 1
Si4 0.432 0.118 0.250 1
Si5 0.500 0.500 0.000 1
Si6 0.068 0.618 0.250 1
Pm1 0.148 0.046 0.760 1
Pm2 0.641 0.185 0.564 1
Pm3 0.345 0.827 0.062 1
Pm4 0.648 0.454 0.260 1
Pm5 0.655 0.173 0.938 1
Pm6 0.359 0.815 0.436 1
Pm7 0.155 0.327 0.438 1
Pm8 0.845 0.673 0.562 1
Pm9 0.141 0.315 0.064 1
Pm10 0.352 0.546 0.740 1
Pm11 0.859 0.685 0.936 1
Pm12 0.852 0.954 0.240 1
F1 0.000 0.000 0.000 1
F2 0.500 0.500 0.500 1
```

[10]
Here is crystalline TmZnGaAg at its relaxed geometry from Alexandria via LeMat-Bulk. Energies are from PBE.

Results
The spin magnetization is 0.00 μB per cell. The value obtained for the formation energy is -0.31 eV/atom.

The structure in CIF format:
```
data_TmZnGaAg
_cell_length_a 4.736
_cell_length_b 4.736
_cell_length_c 4.736
_cell_angle_alpha 60.00
_cell_angle_beta 60.00
_cell_angle_gamma 60.00
_symmetry_space_group_name_H-M 'P 1'
_symmetry_Int_Tables_number 1
loop_
_symmetry_equiv_pos_as_xyz
'x,y,z'
loop_
_atom_site_label
_atom_site_fract_x
_atom_site_fract_y
_atom_site_fract_z
_atom_site_occupancy
Ag1 0.250 0.250 0.250 1
Tm1 0.750 0.750 0.750 1
Ga1 0.500 0.500 0.500 1
Zn1 0.000 0.000 0.000 1
```

[11]
Here is crystalline Ta2FeSb at its relaxed geometry from Alexandria via LeMat-Bulk. Energies are from PBE.

Results
The spin magnetization is 2.05 μB per cell. As for the uncorrected formation energy: 0.07 eV/atom.

The structure in CIF format:
```
data_Ta2FeSb
_cell_length_a 4.279
_cell_length_b 4.008
_cell_length_c 4.008
_cell_angle_alpha 90.00
_cell_angle_beta 90.00
_cell_angle_gamma 90.00
_symmetry_space_group_name_H-M 'P 1'
_symmetry_Int_Tables_number 1
loop_
_symmetry_equiv_pos_as_xyz
'x,y,z'
loop_
_atom_site_label
_atom_site_fract_x
_atom_site_fract_y
_atom_site_fract_z
_atom_site_occupancy
Sb1 0.500 0.000 0.500 1
Ta1 0.000 0.000 0.000 1
Ta2 0.000 0.500 0.500 1
Fe1 0.500 0.500 0.000 1
```

[12]
Here is crystalline Zr5CdHg4 at its relaxed geometry from Alexandria via LeMat-Bulk. Energies are from PBE.

Results
The spin magnetization is 0.00 μB per cell. The value obtained for the formation energy is -0.13 eV/atom.

The structure in CIF format:
```
data_Zr5CdHg4
_cell_length_a 3.527
_cell_length_b 3.527
_cell_length_c 17.574
_cell_angle_alpha 90.00
_cell_angle_beta 90.00
_cell_angle_gamma 90.00
_symmetry_space_group_name_H-M 'P 1'
_symmetry_Int_Tables_number 1
loop_
_symmetry_equiv_pos_as_xyz
'x,y,z'
loop_
_atom_site_label
_atom_site_fract_x
_atom_site_fract_y
_atom_site_fract_z
_atom_site_occupancy
Hg1 0.000 0.000 0.600 1
Hg2 0.000 0.000 0.400 1
Hg3 0.000 0.000 0.801 1
Hg4 0.000 0.000 0.199 1
Zr1 0.500 0.500 0.500 1
Zr2 0.500 0.500 0.300 1
Zr3 0.500 0.500 0.900 1
Zr4 0.500 0.500 0.700 1
Zr5 0.500 0.500 0.100 1
Cd1 0.000 0.000 0.000 1
```